Below is an optimized crystal structure of Y6OsPd5, with properties calculated at the PBE level.

Output
symmetry = Cmmm, No. 65
ΔE_f = -0.770 eV per atom

a b c (Å): 7.8477 7.8477 6.9496
angles (deg): 90.00 90.00 143.06
With the nearest neighbours (Å) after each atom.
Fractional coordinates of all 12 atoms:
Y 0.0000 0.0000 0.2428  2 Os 3.00, 6 Pd 3.03-3.07
Y 0.0000 0.0000 0.7572  2 Os 3.00, 6 Pd 3.03-3.07
Y 0.3372 0.6628 0.2467  1 Os 2.97, 7 Pd 3.00-3.07
Y 0.3372 0.6628 0.7533  1 Os 2.97, 7 Pd 3.00-3.07
Y 0.6628 0.3372 0.2467  1 Os 2.97, 7 Pd 3.00-3.07
Y 0.6628 0.3372 0.7533  1 Os 2.97, 7 Pd 3.00-3.07
Os 0.5000 0.5000 0.0000  8 Y 2.97-3.00
Pd 0.1679 0.8321 0.5000  8 Y 3.05-3.07
Pd 0.1691 0.8309 0.0000  8 Y 3.02-3.03
Pd 0.5000 0.5000 0.5000  8 Y 3.00-3.06
Pd 0.8309 0.1691 0.0000  8 Y 3.02-3.03
Pd 0.8321 0.1679 0.5000  8 Y 3.05-3.07

Below is an optimized crystal structure of AcHfPO2, with properties calculated at the PBE level.

Output
formation energy (no corrections) = -2.660 eV/atom
symmetry = P4mm, No. 99

a b c (Å): 4.0802 4.0802 5.8271
angles (deg): 90.00 90.00 90.00
With the nearest neighbours (Å) after each atom.
Fractional coordinates of all 5 atoms:
Ac 0.0000 0.0000 0.0000  4 O 2.66
Hf 0.5000 0.5000 0.3867  4 O 2.11
P 0.5000 0.5000 0.8117  1 Hf 2.48
O 0.0000 0.5000 0.2938  2 Hf 2.11
O 0.5000 0.0000 0.2938  2 Hf 2.11

Below is an optimized crystal structure of MnMoN2, with properties calculated at the PBE level.

Output
formation energy (no corrections) = -0.284 eV/atom
symmetry = R3m, No. 160

a b c (Å): 5.5350 5.5350 5.5350
angles (deg): 30.27 30.27 30.27
With the nearest neighbours (Å) after each atom.
Fractional coordinates of all 4 atoms:
Mn 0.0000 0.0000 0.0000  6 N 2.11
Mo 0.8327 0.8327 0.8327  6 N 2.14-2.16
N 0.4149 0.4149 0.4149  3 Mn 2.11, 3 Mo 2.14
N 0.5856 0.5856 0.5856  3 Mn 2.11, 3 Mo 2.16

Below is an optimized crystal structure of Tm2Co3TcB12, with properties calculated at the PBE level.

Output
symmetry = R-3m, No. 166
ΔE_f = 0.067 eV per atom

a b c (Å): 8.4204 8.4204 8.4204
angles (deg): 36.49 36.49 36.49
With the nearest neighbours (Å) after each atom.
Fractional coordinates of all 18 atoms:
Tm 0.1329 0.1329 0.1329  9 B 2.57-2.87
Tm 0.8671 0.8671 0.8671  9 B 2.57-2.87
Co 0.0000 0.5000 0.5000  6 B 2.09-2.11
Co 0.5000 0.0000 0.5000  6 B 2.09-2.11
Co 0.5000 0.5000 0.0000  6 B 2.09-2.11
Tc 0.5000 0.5000 0.5000  6 B 2.16
B 0.1580 0.1580 0.4801  4 B 1.70-1.74
B 0.1580 0.4801 0.1580  4 B 1.70-1.74
B 0.1780 0.5430 0.5430  4 B 1.74-1.92
B 0.4570 0.4570 0.8220  4 B 1.74-1.92
B 0.4570 0.8220 0.4570  4 B 1.74-1.92
B 0.4801 0.1580 0.1580  4 B 1.70-1.74
B 0.5199 0.8420 0.8420  4 B 1.70-1.74
B 0.5430 0.1780 0.5430  4 B 1.74-1.92
B 0.5430 0.5430 0.1780  4 B 1.74-1.92
B 0.8220 0.4570 0.4570  4 B 1.74-1.92
B 0.8420 0.5199 0.8420  4 B 1.70-1.74
B 0.8420 0.8420 0.5199  4 B 1.70-1.74

Below is an optimized crystal structure of CoTc2HPt, with properties calculated at the PBE level.

Output
uncorrected energy = -7.42 eV/atom
symmetry = P4/mmm, No. 123

a b c (Å): 3.8444 3.8444 3.8879
angles (deg): 90.00 90.00 90.00
With the nearest neighbours (Å) after each atom.
Fractional coordinates of all 5 atoms:
Co 0.0000 0.0000 0.0000  2 H 1.94
Tc 0.0000 0.5000 0.5000  2 H 1.92
Tc 0.5000 0.0000 0.5000  2 H 1.92
H 0.0000 0.0000 0.5000  4 Tc 1.92, 2 Co 1.94
Pt 0.5000 0.5000 0.0000  4 Co 2.72, 8 Tc 2.73

Below is an optimized crystal structure of Li2AgSeBr, with properties calculated at the PBE level.

Output
formation energy (no corrections) = -0.822 eV/atom
symmetry = P4/mmm, No. 123

a b c (Å): 4.9259 4.9259 5.0287
angles (deg): 90.00 90.00 90.00
With the nearest neighbours (Å) after each atom.
Fractional coordinates of all 5 atoms:
Li 0.0000 0.5000 0.0000  2 Se 2.46
Li 0.5000 0.0000 0.0000  2 Se 2.46
Ag 0.0000 0.0000 0.5000  2 Se 2.51
Se 0.0000 0.0000 0.0000  4 Li 2.46, 2 Ag 2.51
Br 0.5000 0.5000 0.5000  4 Ag 3.48, 8 Li 3.52

Below is an optimized crystal structure of KCaTa, with properties calculated at the PBE level.

Output
symmetry = P4/nmm, No. 129
ΔE_f = 1.578 eV per atom
polymorph energy (0 for the lowest one) = 3.74 eV/f.u.

a b c (Å): 4.9617 4.9617 9.7065
angles (deg): 90.00 90.00 90.00
With the nearest neighbours (Å) after each atom.
Fractional coordinates of all 6 atoms:
K 0.2500 0.2500 0.1359  5 Ta 3.75-3.97
K 0.7500 0.7500 0.8641  5 Ta 3.75-3.97
Ca 0.2500 0.7500 0.5000  4 Ta 3.32, 4 Ca 3.51
Ca 0.7500 0.2500 0.5000  4 Ta 3.32, 4 Ca 3.51
Ta 0.2500 0.2500 0.7265  4 Ca 3.32
Ta 0.7500 0.7500 0.2735  4 Ca 3.32

Below is an optimized crystal structure of Nd2SmTm, with properties calculated at the PBE level.

Output
symmetry = R-3m, No. 166
ΔE_f = 0.016 eV per atom
polymorph energy (0 for the lowest one) = 0.00 eV/f.u.

a b c (Å): 11.9280 11.9280 11.9280
angles (deg): 17.48 17.48 17.48
With the nearest neighbours (Å) after each atom.
Fractional coordinates of all 4 atoms:
Nd 0.2486 0.2486 0.2486  3 Tm 3.57, 6 Nd 3.62, 3 Sm 3.64
Nd 0.7514 0.7514 0.7514  3 Tm 3.57, 6 Nd 3.62, 3 Sm 3.64
Sm 0.0000 0.0000 0.0000  6 Sm 3.62, 6 Nd 3.64
Tm 0.5000 0.5000 0.5000  6 Nd 3.57, 6 Tm 3.62

Below is an optimized crystal structure of Be2WBr, with properties calculated at the PBE level.

Output
formation energy (no corrections) = 1.472 eV/atom
symmetry = Fm-3m, No. 225
polymorph energy (0 for the lowest one) = 4.34 eV/f.u.

a b c (Å): 4.3050 4.3050 4.3050
angles (deg): 60.00 60.00 60.00
With the nearest neighbours (Å) after each atom.
Fractional coordinates of all 4 atoms:
Be 0.2500 0.2500 0.2500  4 W 2.64, 4 Br 2.64
Be 0.7500 0.7500 0.7500  4 W 2.64, 4 Br 2.64
W 0.0000 0.0000 0.0000  8 Be 2.64
Br 0.5000 0.5000 0.5000  8 Be 2.64

Below is an optimized crystal structure of Pm14PuSc, with properties calculated at the PBE level.

Output
symmetry = Amm2, No. 38
ΔE_f = 0.063 eV per atom

a b c (Å): 11.6344 7.2978 7.2978
angles (deg): 60.24 90.00 90.00
With the nearest neighbours (Å) after each atom.
Fractional coordinates of all 16 atoms:
Pm 0.0000 0.0000 0.0000  12 Pm 3.63-3.68
Pm 0.0000 0.4984 0.4984  12 Pm 3.60-3.67
Pm 0.0000 0.4998 0.9972  12 Pm 3.61-3.70
Pm 0.0000 0.9972 0.4998  12 Pm 3.61-3.70
Pm 0.2508 0.3320 0.3320  11 Pm 3.56-3.68, 1 Pu 3.57
Pm 0.2537 0.8327 0.8327  11 Pm 3.56-3.68, 1 Sc 3.56
Pm 0.2598 0.3316 0.8278  1 Pu 3.49, 1 Sc 3.50, 10 Pm 3.55-3.70
Pm 0.2598 0.8278 0.3316  1 Pu 3.49, 1 Sc 3.50, 10 Pm 3.55-3.70
Pm 0.5000 0.0061 0.4996  8 Pm 3.55-3.71, 2 Pu 3.58-3.72, 2 Sc 3.63-3.66
Pm 0.5000 0.4996 0.0061  8 Pm 3.55-3.71, 2 Pu 3.58-3.72, 2 Sc 3.63-3.66
Pm 0.7402 0.3316 0.8278  1 Pu 3.49, 1 Sc 3.50, 10 Pm 3.55-3.70
Pm 0.7402 0.8278 0.3316  1 Pu 3.49, 1 Sc 3.50, 10 Pm 3.55-3.70
Pm 0.7463 0.8327 0.8327  11 Pm 3.56-3.68, 1 Sc 3.56
Pm 0.7492 0.3320 0.3320  11 Pm 3.56-3.68, 1 Pu 3.57
Pu 0.5000 0.4973 0.4973  10 Pm 3.49-3.72, 2 Sc 3.66
Sc 0.5000 0.0003 0.0003  10 Pm 3.50-3.66, 2 Pu 3.66